[1]
# SrYPS2

Crystalline SrYPS2 at its relaxed geometry (PBE, Alexandria via LeMat-Bulk).

Its crystal system is tetragonal. The calculation puts the offset from the most stable computed form at 21.47 kcal/mol of atoms. The uncorrected formation energy is -0.087 eV/atom.

The space group is P4/mmm (No. 123) and the conventional cell measures 5.284, 5.284 and 5.176 Å, with angles of 90.00, 90.00 and 90.00 degrees. The asymmetric unit holds Sr at (0.000, 0.000, 0.000), Y at (0.500, 0.500, 0.500), P at (0.000, 0.000, 0.500) and S at (0.000, 0.500, 0.000).

[2]
# GeH2CS

Crystalline GeH2CS at its relaxed geometry (PBE, Alexandria via LeMat-Bulk).

The value obtained for the electronic total energy is -0.1441 hartree per atom. Its crystal system is tetragonal.

The space group is P4/mmm (No. 123) and the conventional cell measures 3.301, 3.301 and 4.475 Å, with angles of 90.00, 90.00 and 90.00 degrees. The asymmetric unit holds Ge at (0.000, 0.000, 0.000), H at (0.000, 0.500, 0.000), C at (0.000, 0.000, 0.500) and S at (0.500, 0.500, 0.500).

[3]
# La2Pr6HoEr

Crystalline La2Pr6HoEr at its relaxed geometry (PBE, Alexandria via LeMat-Bulk).

As for the energy of formation from the pure elements: 111 meV/atom. Its crystal system is monoclinic.

The space group is C2/c (No. 15) and the conventional cell measures 9.254, 15.354 and 10.173 Å, with angles of 90.00, 100.44 and 90.00 degrees. The asymmetric unit holds La at (0.241, 0.048, 0.041), Pr at (0.066, 0.189, 0.444), Pr at (0.104, 0.399, 0.621), Pr at (0.200, 0.217, 0.810), Ho at (0.000, 0.012, 0.750) and Er at (0.000, 0.405, 0.250).

[4]
# TaCoICl2

Crystalline TaCoICl2 at its relaxed geometry (PBE, Alexandria via LeMat-Bulk).

Its crystal system is tetragonal. The uncorrected formation energy is 0.168 eV/atom.

The space group is P4/mmm (No. 123) and the conventional cell measures 4.719, 4.719 and 5.337 Å, with angles of 90.00, 90.00 and 90.00 degrees. The asymmetric unit holds Ta at (0.000, 0.000, 0.000), Co at (0.000, 0.000, 0.500), I at (0.500, 0.500, 0.500) and Cl at (0.000, 0.500, 0.000).

[5]
# ScSn2Pt2

Crystalline ScSn2Pt2 at its relaxed geometry (PBE, Alexandria via LeMat-Bulk).

As for the energy of formation from the pure elements: -495 meV/atom. Its crystal system is tetragonal.

The space group is I4/mmm (No. 139) and the conventional cell measures 4.142, 4.142 and 12.386 Å, with angles of 90.00, 90.00 and 90.00 degrees. The asymmetric unit holds Sc at (0.000, 0.000, 0.000), Sn at (0.000, 0.500, 0.250) and Pt at (0.000, 0.000, 0.395).

[6]
# InAgPb

Crystalline InAgPb at its relaxed geometry (PBE, Alexandria via LeMat-Bulk).

As for the energy of formation from the pure elements: 19 meV/atom. Its crystal system is orthorhombic.

The space group is Fmmm (No. 69) and the conventional cell measures 5.853, 9.968 and 10.335 Å, with angles of 90.00, 90.00 and 90.00 degrees. The asymmetric unit holds In at (0.000, 0.000, 0.155), Ag at (0.250, 0.250, 0.250) and Pb at (0.000, 0.161, 0.500).

What did the fourth record say?
# TaCoICl2

Crystalline TaCoICl2 at its relaxed geometry (PBE, Alexandria via LeMat-Bulk).

Its crystal system is tetragonal. The uncorrected formation energy is 0.168 eV/atom.

The space group is P4/mmm (No. 123) and the conventional cell measures 4.719, 4.719 and 5.337 Å, with angles of 90.00, 90.00 and 90.00 degrees. The asymmetric unit holds Ta at (0.000, 0.000, 0.000), Co at (0.000, 0.000, 0.500), I at (0.500, 0.500, 0.500) and Cl at (0.000, 0.500, 0.000).

Repeat the sixth record exactly.
# InAgPb

Crystalline InAgPb at its relaxed geometry (PBE, Alexandria via LeMat-Bulk).

As for the energy of formation from the pure elements: 19 meV/atom. Its crystal system is orthorhombic.

The space group is Fmmm (No. 69) and the conventional cell measures 5.853, 9.968 and 10.335 Å, with angles of 90.00, 90.00 and 90.00 degrees. The asymmetric unit holds In at (0.000, 0.000, 0.155), Ag at (0.250, 0.250, 0.250) and Pb at (0.000, 0.161, 0.500).